a | DFT (meta-GGA SCAN) results for a PBEsol-optimized structure of BeTe.

Unit cell a=3.9526 b=3.9526 c=6.5254 alpha=90.00 beta=90.00 gamma=120.00
With the nearest neighbours (Å) after each atom.
Positions (direct):
Be1 0.3333 0.6667 0.0000  4 Te 2.43-2.44
Be2 0.6667 0.3333 0.5000  4 Te 2.43-2.44
Te1 0.3333 0.6667 0.6262  4 Be 2.43-2.44
Te2 0.6667 0.3333 0.1262  4 Be 2.43-2.44

=====

b | DFT (meta-GGA SCAN) results for a PBEsol-optimized structure of BeTe.

Unit cell a=5.6440 b=5.6440 c=6.5017 alpha=90.00 beta=90.00 gamma=120.00
With the nearest neighbours (Å) after each atom.
Positions (direct):
Be1 0.3333 0.6667 0.1016  1 Be 1.93
Be2 0.3333 0.6667 0.3984  1 Be 1.93
Be3 0.6667 0.3333 0.6016  1 Be 1.93
Be4 0.6667 0.3333 0.8984  1 Be 1.93
Te1 0.0000 0.0000 0.2500  5 Te 3.25-3.26, 6 Be 3.40
Te2 0.0000 0.0000 0.7500  5 Te 3.25-3.26, 6 Be 3.40
Te3 0.3333 0.6667 0.7500  2 Be 2.29
Te4 0.6667 0.3333 0.2500  2 Be 2.29

=====

What should be chosen as the least stable of them? Choose b.

=====

a | DFT (meta-GGA SCAN) results for a PBEsol-optimized structure of BeTe.

Unit cell a=7.3568 b=7.3568 c=7.3568 alpha=30.91 beta=30.91 gamma=30.91
With the nearest neighbours (Å) after each atom.
Positions (direct):
Be1 0.1295 0.1295 0.1295  4 Te 2.45-2.50
Be2 0.8705 0.8705 0.8705  4 Te 2.45-2.50
Te1 0.2484 0.2484 0.2484  4 Be 2.45-2.50
Te2 0.7516 0.7516 0.7516  4 Be 2.45-2.50

=====

b | DFT (meta-GGA SCAN) results for a PBEsol-optimized structure of BeTe.

Unit cell a=3.8714 b=3.8714 c=6.2670 alpha=90.00 beta=90.00 gamma=90.00
With the nearest neighbours (Å) after each atom.
Positions (direct):
Be1 0.2500 0.7500 0.0000  4 Te 2.47, 4 Be 2.74
Be2 0.7500 0.2500 0.0000  4 Te 2.47, 4 Be 2.74
Te1 0.2500 0.2500 0.2449  4 Be 2.47
Te2 0.7500 0.7500 0.7551  4 Be 2.47

=====

c | DFT (meta-GGA SCAN) results for a PBEsol-optimized structure of BeTe.

Unit cell a=3.9681 b=3.9681 c=3.9681 alpha=60.00 beta=60.00 gamma=60.00
With the nearest neighbours (Å) after each atom.
Positions (direct):
Be1 0.0000 0.0000 0.0000  4 Te 2.43
Te1 0.2500 0.2500 0.2500  4 Be 2.43

=====

What should be chosen as the least stable of them? Choose b.